DFT (PBE) results for crystalline Dy3YIn at its relaxed geometry.

total DFT energy (no corrections)	-93.9	eV for the cell shown

a = 9.8253 Å, b = 9.8253 Å, c = 6.4885 Å
α = 100.51°, β = 100.51°, γ = 83.49°
Closest atoms and distances in Å follow each position.
Fractional positions:
Dy: 0.1006 0.7092 0.5134  2 In 3.21-3.35, 3 Dy 3.27-3.51, 3 Y 3.43-3.51
Dy: 0.1231 0.5024 0.8627  6 Dy 3.27-3.65, 2 In 3.29, 1 Y 3.51
Dy: 0.2336 0.3736 0.3645  2 In 3.30-3.33, 4 Dy 3.40-3.65, 2 Y 3.40-3.61
Dy: 0.2908 0.8994 0.9866  2 In 3.21-3.35, 3 Dy 3.27-3.51, 3 Y 3.43-3.51
Dy: 0.3736 0.2336 0.8645  2 In 3.30-3.33, 4 Dy 3.40-3.65, 2 Y 3.40-3.61
Dy: 0.4976 0.8769 0.6373  6 Dy 3.27-3.65, 2 In 3.29, 1 Y 3.51
Dy: 0.5024 0.1231 0.3627  6 Dy 3.27-3.65, 2 In 3.29, 1 Y 3.51
Dy: 0.6264 0.7664 0.1355  2 In 3.30-3.33, 4 Dy 3.40-3.65, 2 Y 3.40-3.61
Dy: 0.7092 0.1006 0.0134  2 In 3.21-3.35, 3 Dy 3.27-3.51, 3 Y 3.43-3.51
Dy: 0.7664 0.6264 0.6355  2 In 3.30-3.33, 4 Dy 3.40-3.65, 2 Y 3.40-3.61
Dy: 0.8769 0.4976 0.1373  6 Dy 3.27-3.65, 2 In 3.29, 1 Y 3.51
Dy: 0.8994 0.2908 0.4866  2 In 3.21-3.35, 3 Dy 3.27-3.51, 3 Y 3.43-3.51
Y: 0.0384 0.1700 0.9641  7 Dy 3.40-3.66, 4 Y 3.59-3.67
Y: 0.1700 0.0384 0.4641  7 Dy 3.40-3.66, 4 Y 3.59-3.67
Y: 0.8300 0.9616 0.5359  7 Dy 3.40-3.66, 4 Y 3.59-3.67
Y: 0.9616 0.8300 0.0359  7 Dy 3.40-3.66, 4 Y 3.59-3.67
In: 0.3533 0.6467 0.2500  3 In 3.08-3.33, 6 Dy 3.21-3.30
In: 0.4116 0.5884 0.7500  3 In 3.08-3.33, 6 Dy 3.29-3.35
In: 0.5884 0.4116 0.2500  3 In 3.08-3.33, 6 Dy 3.29-3.35
In: 0.6467 0.3533 0.7500  3 In 3.08-3.33, 6 Dy 3.21-3.30



DFT (PBE) results for crystalline Ca2TaTl2Se6 at its relaxed geometry.

total DFT energy (no corrections)	-52.6	eV for the cell shown

a = 7.1126 Å, b = 7.1126 Å, c = 7.6085 Å
α = 99.00°, β = 99.00°, γ = 118.80°
Closest atoms and distances in Å follow each position.
Fractional positions:
Ca: 0.1682 0.8318 0.0000  6 Se 2.92-2.97
Ca: 0.8318 0.1682 0.0000  6 Se 2.92-2.97
Ta: 0.5000 0.5000 0.0000  6 Se 2.61-2.62
Tl: 0.3321 0.6679 0.5000  6 Se 3.09-3.36
Tl: 0.6679 0.3321 0.5000  6 Se 3.09-3.36
Se: 0.1317 0.4299 0.7898  1 Ta 2.62, 1 Ca 2.92
Se: 0.2748 0.2748 0.2095  1 Ta 2.61
Se: 0.4299 0.1317 0.7898  1 Ta 2.62, 1 Ca 2.92
Se: 0.5701 0.8683 0.2102  1 Ta 2.62, 1 Ca 2.92
Se: 0.7252 0.7252 0.7905  1 Ta 2.61
Se: 0.8683 0.5701 0.2102  1 Ta 2.62, 1 Ca 2.92



DFT (PBE) results for crystalline SmThRuPt at its relaxed geometry.

total DFT energy (no corrections)	-61.5	eV for the cell shown

a = 4.1419 Å, b = 3.9313 Å, c = 11.3640 Å
α = 90.00°, β = 90.00°, γ = 90.00°
Closest atoms and distances in Å follow each position.
Fractional positions:
Sm: 0.0000 0.0000 0.0000  4 Pt 2.93, 1 Ru 2.96
Sm: 0.0000 0.5000 0.5000  4 Pt 2.93, 1 Ru 2.96
Th: 0.5000 0.0000 0.2797  4 Ru 2.89, 3 Pt 3.15-3.21
Th: 0.5000 0.5000 0.7797  4 Ru 2.89, 3 Pt 3.15-3.21
Ru: 0.0000 0.0000 0.7391  4 Th 2.89, 2 Pt 2.93, 1 Sm 2.96
Ru: 0.0000 0.5000 0.2391  4 Th 2.89, 2 Pt 2.93, 1 Sm 2.96
Pt: 0.5000 0.0000 0.5567  4 Sm 2.93, 2 Ru 2.93, 3 Th 3.15-3.21
Pt: 0.5000 0.5000 0.0567  4 Sm 2.93, 2 Ru 2.93, 3 Th 3.15-3.21



DFT (PBE) results for crystalline RbCaLa2Co at its relaxed geometry.

total DFT energy (no corrections)	-19.2	eV for the cell shown

a = 5.4928 Å, b = 5.4928 Å, c = 6.1257 Å
α = 90.00°, β = 90.00°, γ = 90.00°
Closest atoms and distances in Å follow each position.
Fractional positions:
Rb: 0.0000 0.0000 0.0000  4 Ca 3.88, 8 La 4.11
Ca: 0.5000 0.5000 0.0000  2 Co 3.06
La: 0.0000 0.5000 0.5000  2 Co 2.75
La: 0.5000 0.0000 0.5000  2 Co 2.75
Co: 0.5000 0.5000 0.5000  4 La 2.75, 2 Ca 3.06



What is the formula in the third record?
SmThRuPt



Repeat the fourth record exactly.
DFT (PBE) results for crystalline RbCaLa2Co at its relaxed geometry.

total DFT energy (no corrections)	-19.2	eV for the cell shown

a = 5.4928 Å, b = 5.4928 Å, c = 6.1257 Å
α = 90.00°, β = 90.00°, γ = 90.00°
Closest atoms and distances in Å follow each position.
Fractional positions:
Rb: 0.0000 0.0000 0.0000  4 Ca 3.88, 8 La 4.11
Ca: 0.5000 0.5000 0.0000  2 Co 3.06
La: 0.0000 0.5000 0.5000  2 Co 2.75
La: 0.5000 0.0000 0.5000  2 Co 2.75
Co: 0.5000 0.5000 0.5000  4 La 2.75, 2 Ca 3.06



What is the total DFT energy (no corrections) in the fourth record?
-19.2 eV for the cell shown